{"formula": "CoW2Se", "functional": "PBE-GGA", "state": "optimized geometry", "cell": [[-2.615, -3.294, -2.214], [3.047, -1.814, 3.165], [-2.010, 0.213, 2.058]], "species": ["Co", "Se", "W", "W"], "fractional_positions": [[0.500, 0.000, 0.500], [0.000, 0.500, 0.500], [0.000, 0.000, 0.000], [0.500, 0.500, 0.000]], "volume_a3_per_atom": 14.94, "e_tot_ev_per_atom": -8.49}